Computed, not measured: crystalline Mn2MoHRh at its relaxed geometry at the PBE level of DFT.

Geometry as POSCAR:
```
Mn2MoHRh
1.0
3.8136 0.0000 0.0000
0.0000 3.8136 0.0000
0.0000 0.0000 3.7416
Mn Mo H Rh
2 1 1 1
Direct
0.0000 0.5000 0.0000
0.5000 0.0000 0.0000
0.0000 0.0000 0.5000
0.5000 0.5000 0.0000
0.5000 0.5000 0.5000
```

Total DFT energy (no corrections), eV per cell: -39.93
Energy relative to the lowest polymorph listed for this composition, eV/f.u.: 0.00